Compound: Rb2ZnAsF6
Source: Alexandria via LeMat-Bulk
Functional: GGA-PBE
Structure: optimized geometry

Cell lengths 6.5555, 6.5555, 6.5555 Å; angles 125.98, 125.98, 79.92 degrees
Atoms (fractional coordinates):
Rb 0.2500 0.7500 0.5000
Rb 0.7500 0.2500 0.5000
Zn 0.0000 0.0000 0.0000
As 0.5000 0.5000 0.0000
F 0.1930 0.1930 0.0000
F 0.2557 0.2557 0.5114
F 0.2557 0.7443 0.0000
F 0.7443 0.2557 0.0000
F 0.7443 0.7443 0.4886
F 0.8070 0.8070 0.0000

Summary:
**Calculated total energy**: -4.177 eV/atom
**Space group**: I4/mmm